Rb2ZrTaCu, optimized geometry, DFT GGA-PBE; E_tot = -3.415 eV per atom; formation energy from the elements = 1.87 eV/atom; crystal system = tetragonal; mass density = 4.7 g/cm3
1.0
-5.6152 1.5912 -0.6588
0.2269 -1.2611 -4.9802
-1.7026 -5.4672 1.3069
Rb Cu Zr Ta
2 1 1 1
Cartesian
-0.8513 -2.7336 0.6534 Rb
-2.8076 0.7956 -0.3294 Rb
0.0000 0.0000 0.0000 Cu
-3.5454 -2.5685 -2.1661 Zr
0.1135 -0.6306 -2.4901 Ta